(1)
The following is a DFT calculation (PBE) of Na2SmIO6 after structural relaxation.

- symmetry = R-3
- raw formation energy (eV per atom) = -1.630
- VASP energy (eV/atom) = -5.495

a b c (Å): 5.7826 5.7826 5.7767
angles (deg): 59.96 59.97 60.00
Fractional coordinates of all 10 atoms:
Na (0.5549, 0.5548, 0.3355)
Na (0.0773, 0.0773, 0.7680)
Sm (0.8162, 0.8162, 0.5515)
I (0.3162, 0.3162, 0.0515)
O (0.5313, 0.1795, 0.2849)
O (0.1795, 0.0043, 0.2852)
O (0.0044, 0.5311, 0.2851)
O (0.4528, 0.6281, 0.8177)
O (0.6279, 0.1013, 0.8178)
O (0.1011, 0.4528, 0.8180)


(2)
The following is a DFT calculation (PBE) of NaSnI2O after structural relaxation.

- offset from the most stable computed form (eV/atom) = 0.0000
- symmetry = P4/mmm
- raw formation energy (eV per atom) = -0.789
- VASP energy (eV/atom) = -3.466

a b c (Å): 6.2318 6.2318 4.1030
angles (deg): 90.00 90.00 90.00
Fractional coordinates of all 5 atoms:
I (0.0000, 0.5000, 0.0000)
I (0.5000, 0.0000, 0.0000)
Na (0.5000, 0.5000, 0.5000)
Sn (0.0000, 0.0000, 0.0000)
O (0.0000, 0.0000, 0.5000)


(3)
The following is a DFT calculation (PBE) of NaSnIO5 after structural relaxation.

- symmetry = C2/c
- raw formation energy (eV per atom) = -0.944
- VASP energy (eV/atom) = -4.902

a b c (Å): 5.7685 5.7685 7.3775
angles (deg): 97.76 97.76 107.77
Fractional coordinates of all 16 atoms:
Na (0.3179, 0.6821, 0.2500)
Na (0.6821, 0.3179, 0.7500)
Sn (0.0000, 0.0000, 0.5000)
Sn (0.0000, 0.0000, 0.0000)
I (0.6537, 0.3463, 0.2500)
I (0.3463, 0.6537, 0.7500)
O (0.0819, 0.9181, 0.2500)
O (0.9181, 0.0819, 0.7500)
O (0.9100, 0.3383, 0.1207)
O (0.0900, 0.6617, 0.8793)
O (0.6617, 0.0900, 0.3793)
O (0.3383, 0.9100, 0.6207)
O (0.7974, 0.6254, 0.4796)
O (0.2026, 0.3746, 0.5204)
O (0.3746, 0.2026, 0.0204)
O (0.6254, 0.7974, 0.9796)


(4)
The following is a DFT calculation (PBE) of NaSnIO2 after structural relaxation.

- offset from the most stable computed form (eV/atom) = 0.0000
- symmetry = P4/mmm
- raw formation energy (eV per atom) = -0.939
- VASP energy (eV/atom) = -4.297

a b c (Å): 4.1093 4.1093 6.2892
angles (deg): 90.00 90.00 90.00
Fractional coordinates of all 5 atoms:
I (0.0000, 0.0000, 0.5000)
Na (0.5000, 0.5000, 0.5000)
Sn (0.0000, 0.0000, 0.0000)
O (0.0000, 0.5000, 0.0000)
O (0.5000, 0.0000, 0.0000)